A plane-wave DFT calculation with GGA-PBEsol was carried out for a relaxed TiTe2PC crystal.

The structure in POSCAR format:
```
TiTe2PC
1.0
5.290 0.000 0.000
0.000 5.290 0.000
0.000 0.000 3.431
Ti Te P C
1 2 1 1
Cartesian
0.000 0.000 0.000
0.000 2.645 1.715
2.645 0.000 1.715
2.645 2.645 1.715
2.645 2.645 0.000
```

Electronic total energy ... -26.9 eV/cell
Space group ... P4/mmm
DOS(E_F) ... 4.3 states/eV/f.u.
Energy relative to the elements, uncorrected ... 3.9 eV per formula unit